# Zn2Hg2Sb PBE optimized geometry
# Energy above the lowest structure with this stoichiometry (meV per atom): 21
# Symmetry: No. 127
# Total magnetization (μB per cell): 0.00
# Uncorrected energy (eV/f.u.): -6.4
data_Zn2Hg2Sb
_chemical_formula_sum 'Zn4 Hg4 Sb2'
_symmetry_space_group_name_H-M 'P 1'
_symmetry_Int_Tables_number 1
_symmetry_space_group_name_Hall 'P 1'
_cell_length_a 8.207
_cell_length_b 8.207
_cell_length_c 3.297
_cell_angle_alpha 90.00
_cell_angle_beta 90.00
_cell_angle_gamma 90.00
loop_
_atom_site_label
_atom_site_type_symbol
_atom_site_fract_x
_atom_site_fract_y
_atom_site_fract_z
Zn1 Zn 0.122 0.378 0.000
Zn2 Zn 0.378 0.878 0.000
Zn3 Zn 0.622 0.122 0.000
Zn4 Zn 0.878 0.622 0.000
Hg1 Hg 0.174 0.674 0.500
Hg2 Hg 0.326 0.174 0.500
Hg3 Hg 0.674 0.826 0.500
Hg4 Hg 0.826 0.326 0.500
Sb1 Sb 0.000 0.000 0.500
Sb2 Sb 0.500 0.500 0.500